Record 1
The following is a DFT calculation (GGA-PBE) of an optimized crystal structure of Y2CdRh.

For the volume, the calculation gives 105.1 Å³/f.u. The calculation puts the formation energy at -0.550 eV/f.u.

It has space group R3m (No. 160, hexagonal axes), with a = 3.6798 Å, b = 3.6798 Å, c = 26.8928 Å, α = 90.00°, β = 90.00° and γ = 120.00°. The asymmetric unit holds Y at (0.0000, 0.0000, 0.0000), Y at (0.0000, 0.0000, 0.2180), Cd at (0.0000, 0.0000, 0.7570) and Rh at (0.0000, 0.0000, 0.4885).

Record 2
The following is a DFT calculation (GGA-PBE) of an optimized crystal structure of BaMgBe2F8.

For the volume, the calculation gives 169.3 Å³/f.u. As for the raw formation energy: -3.52 eV per atom.

It has space group C2/m (No. 12), with a = 8.379 Å, b = 5.293 Å, c = 7.650 Å, α = 90.00°, β = 93.51° and γ = 90.00°. The asymmetric unit holds Ba at (0.000, 0.000, 0.000), Mg at (0.000, 0.000, 0.500), Be at (0.135, 0.500, 0.286), F at (0.030, 0.256, 0.307), F at (0.186, 0.500, 0.090) and F at (0.226, 0.000, 0.577).

Record 3
The following is a DFT calculation (GGA-PBE) of an optimized crystal structure of Tb6Pm12Ho.

For the volume, the calculation gives 662.0 Å³/f.u. The value obtained for the relative energy among the computed polymorphs is 0.099 eV per atom. The calculation puts the formation energy at 4.480 eV/f.u.

It has space group R-3 (No. 148, hexagonal axes), with a = 14.8230 Å, b = 14.8230 Å, c = 10.4369 Å, α = 90.00°, β = 90.00° and γ = 120.00°. The asymmetric unit holds Tb at (0.0496, 0.8392, 0.2591), Pm at (0.0524, 0.7989, 0.5782), Pm at (0.0654, 0.8371, 0.9198) and Ho at (0.0000, 0.0000, 0.5000).

Record 4
The following is a DFT calculation (GGA-PBE) of an optimized crystal structure of KCeTl4.

For the volume, the calculation gives 190.6 Å³/f.u. The calculation puts the formation energy at 0.029 eV/f.u.

It has space group F-43m (No. 216), with a = 9.135 Å, b = 9.135 Å, c = 9.135 Å, α = 90.00°, β = 90.00° and γ = 90.00°. The asymmetric unit holds K at (0.000, 0.000, 0.000), Ce at (0.250, 0.250, 0.750) and Tl at (0.125, 0.125, 0.375).

Record 5
The following is a DFT calculation (GGA-PBE) of an optimized crystal structure of TlAgPb2.

For the volume, the calculation gives 111.1 Å³/f.u. The value obtained for the relative energy among the computed polymorphs is 0.064 eV per atom. The calculation puts the formation energy at 0.350 eV/f.u.

It has space group R3m (No. 160, hexagonal axes), with a = 3.4840 Å, b = 3.4840 Å, c = 31.7086 Å, α = 90.00°, β = 90.00° and γ = 120.00°. The asymmetric unit holds Tl at (0.0000, 0.0000, 0.0000), Ag at (0.0000, 0.0000, 0.2603), Pb at (0.0000, 0.0000, 0.5196) and Pb at (0.0000, 0.0000, 0.7579).